An optimized crystal structure of CrBrO. Source: Alexandria via LeMat-Bulk, functional PBE+U.

a = 3.350 Å, b = 3.942 Å, c = 8.983 Å
α = 90.00°, β = 90.00°, γ = 90.00°
Sites, in units of the cell vectors:
Cr 0.250 0.250 0.094
Cr 0.750 0.750 0.906
Br 0.250 0.750 0.698
Br 0.750 0.250 0.302
O 0.250 0.750 0.044
O 0.750 0.250 0.956

Computed properties:
Volume in Å³/cell: 118.64
Crystal system: orthorhombic
Symmetry: Pmmn, No. 59
Electronic total energy in eV/atom: -6.128